# 1
NaZr3Rh: optimized geometry, GGA-PBEsol.

a b c (Å): 4.7722 4.7722 4.7722
angles (deg): 90.00 90.00 90.00
Closest atoms and distances in Å follow each position.
Fractional coordinates of all 5 atoms:
Na 0.0000 0.0000 0.0000  6 Zr 2.39
Zr 0.0000 0.0000 0.5000  2 Na 2.39
Zr 0.0000 0.5000 0.0000  2 Na 2.39
Zr 0.5000 0.0000 0.0000  2 Na 2.39
Rh 0.5000 0.5000 0.5000  12 Zr 3.37

Properties
ΔH_f (0 K) in eV per formula unit: 8.403
Space-group type: Pm-3m



# 2
NaRu3S: optimized geometry, GGA-PBEsol.

a b c (Å): 4.3163 4.3163 4.3163
angles (deg): 90.00 90.00 90.00
Closest atoms and distances in Å follow each position.
Fractional coordinates of all 5 atoms:
Na 0.0000 0.0000 0.0000  12 Ru 3.05
Ru 0.0000 0.5000 0.5000  2 S 2.16
Ru 0.5000 0.0000 0.5000  2 S 2.16
Ru 0.5000 0.5000 0.0000  2 S 2.16
S 0.5000 0.5000 0.5000  6 Ru 2.16

Properties
Space-group type: Pm-3m
Raw formation energy in kJ/mol of atoms: 53



# 3
NaSb2Ru2: optimized geometry, GGA-PBEsol.

a b c (Å): 4.5609 4.5609 9.9854
angles (deg): 90.00 90.00 90.00
Closest atoms and distances in Å follow each position.
Fractional coordinates of all 10 atoms:
Na 0.0000 0.0000 0.0000  8 Sb 3.38, 8 Ru 3.43
Na 0.5000 0.5000 0.5000  8 Sb 3.38, 8 Ru 3.43
Sb 0.0000 0.5000 0.2500  4 Ru 2.64
Sb 0.0000 0.5000 0.7500  4 Ru 2.64
Sb 0.5000 0.0000 0.2500  4 Ru 2.64
Sb 0.5000 0.0000 0.7500  4 Ru 2.64
Ru 0.0000 0.0000 0.3828  1 Ru 2.34
Ru 0.0000 0.0000 0.6172  1 Ru 2.34
Ru 0.5000 0.5000 0.1172  1 Ru 2.34
Ru 0.5000 0.5000 0.8828  1 Ru 2.34

Properties
Space-group type: I4/mmm
Raw formation energy in kJ/mol of atoms: 13



# 4
NaTl2RuSe: optimized geometry, GGA-PBEsol.

a b c (Å): 5.1155 5.1155 5.3980
angles (deg): 90.00 90.00 90.00
Closest atoms and distances in Å follow each position.
Fractional coordinates of all 5 atoms:
Na 0.0000 0.0000 0.0000  2 Ru 2.70
Tl 0.0000 0.5000 0.5000  2 Ru 2.56
Tl 0.5000 0.0000 0.5000  2 Ru 2.56
Ru 0.0000 0.0000 0.5000  4 Tl 2.56, 2 Na 2.70
Se 0.5000 0.5000 0.0000  4 Na 3.62, 8 Tl 3.72

Properties
Space-group type: P4/mmm
Raw formation energy in kJ/mol of atoms: 54



# 5
NaSr2Ru: optimized geometry, GGA-PBEsol.

a b c (Å): 7.5479 7.5479 7.5479
angles (deg): 90.00 90.00 90.00
Closest atoms and distances in Å follow each position.
Fractional coordinates of all 16 atoms:
Na 0.0000 0.0000 0.0000  8 Sr 3.27
Na 0.0000 0.5000 0.5000  8 Sr 3.27
Na 0.5000 0.0000 0.5000  8 Sr 3.27
Na 0.5000 0.5000 0.0000  8 Sr 3.27
Sr 0.2500 0.2500 0.2500  4 Na 3.27, 4 Ru 3.27
Sr 0.2500 0.2500 0.7500  4 Na 3.27, 4 Ru 3.27
Sr 0.2500 0.7500 0.2500  4 Na 3.27, 4 Ru 3.27
Sr 0.2500 0.7500 0.7500  4 Na 3.27, 4 Ru 3.27
Sr 0.7500 0.2500 0.2500  4 Na 3.27, 4 Ru 3.27
Sr 0.7500 0.2500 0.7500  4 Na 3.27, 4 Ru 3.27
Sr 0.7500 0.7500 0.2500  4 Na 3.27, 4 Ru 3.27
Sr 0.7500 0.7500 0.7500  4 Na 3.27, 4 Ru 3.27
Ru 0.0000 0.0000 0.5000  8 Sr 3.27
Ru 0.0000 0.5000 0.0000  8 Sr 3.27
Ru 0.5000 0.0000 0.0000  8 Sr 3.27
Ru 0.5000 0.5000 0.5000  8 Sr 3.27

Properties
ΔH_f (0 K) in eV per formula unit: 1.963
Space-group type: Fm-3m



# 6
NaTa3Ru: optimized geometry, GGA-PBEsol.

a b c (Å): 4.8078 4.8078 4.8078
angles (deg): 90.00 90.00 90.00
Closest atoms and distances in Å follow each position.
Fractional coordinates of all 5 atoms:
Na 0.0000 0.0000 0.0000  12 Ta 3.40
Ta 0.0000 0.5000 0.5000  2 Ru 2.40
Ta 0.5000 0.0000 0.5000  2 Ru 2.40
Ta 0.5000 0.5000 0.0000  2 Ru 2.40
Ru 0.5000 0.5000 0.5000  6 Ta 2.40

Properties
ΔH_f (0 K) in eV per formula unit: 6.200
Space-group type: Pm-3m



# 7
Na2RuW2: optimized geometry, GGA-PBEsol.

a b c (Å): 3.4543 3.4543 19.4782
angles (deg): 90.00 90.00 90.00
Closest atoms and distances in Å follow each position.
Fractional coordinates of all 10 atoms:
Na 0.0000 0.0000 0.1010  4 Ru 3.14, 4 W 3.38, 4 Na 3.45
Na 0.0000 0.0000 0.8990  4 Ru 3.14, 4 W 3.38, 4 Na 3.45
Na 0.5000 0.5000 0.3990  4 Ru 3.14, 4 W 3.38, 4 Na 3.45
Na 0.5000 0.5000 0.6010  4 Ru 3.14, 4 W 3.38, 4 Na 3.45
Ru 0.0000 0.0000 0.5000  8 Na 3.14, 4 Ru 3.45
Ru 0.5000 0.5000 0.0000  8 Na 3.14, 4 Ru 3.45
W 0.0000 0.5000 0.2500  4 W 2.44
W 0.0000 0.5000 0.7500  4 W 2.44
W 0.5000 0.0000 0.2500  4 W 2.44
W 0.5000 0.0000 0.7500  4 W 2.44

Properties
ΔH_f (0 K) in eV per formula unit: 8.784
Space-group type: I4/mmm



# 8
NaZn3Ru: optimized geometry, GGA-PBEsol.

a b c (Å): 4.7463 4.7463 4.7463
angles (deg): 90.00 90.00 90.00
Closest atoms and distances in Å follow each position.
Fractional coordinates of all 5 atoms:
Na 0.0000 0.0000 0.0000  12 Zn 3.36
Zn 0.0000 0.5000 0.5000  2 Ru 2.37
Zn 0.5000 0.0000 0.5000  2 Ru 2.37
Zn 0.5000 0.5000 0.0000  2 Ru 2.37
Ru 0.5000 0.5000 0.5000  6 Zn 2.37

Properties
ΔH_f (0 K) in eV per formula unit: 1.511
Space-group type: Pm-3m



# 9
NaS2: optimized geometry, GGA-PBEsol.

a b c (Å): 8.8850 8.8850 8.8850
angles (deg): 115.48 115.48 98.03
Closest atoms and distances in Å follow each position.
Fractional coordinates of all 24 atoms:
Na 0.1504 0.1250 0.5254  6 S 2.85-3.05
Na 0.1718 0.1718 0.0000  4 S 2.79-2.81
Na 0.3750 0.8496 0.9746  6 S 2.85-3.05
Na 0.5782 0.0782 0.5000  4 S 2.79-2.81
Na 0.5996 0.6250 0.4746  6 S 2.85-3.05
Na 0.8282 0.8282 0.0000  4 S 2.79-2.81
Na 0.8750 0.4004 0.0254  6 S 2.85-3.05
Na 0.9218 0.4218 0.5000  4 S 2.79-2.81
S 0.0024 0.7614 0.4693  2 S 2.06-2.08
S 0.0123 0.7978 0.7214  1 S 2.08
S 0.0410 0.3264 0.7786  1 S 2.08
S 0.0764 0.2910 0.2786  1 S 2.08
S 0.2022 0.9236 0.2145  1 S 2.08
S 0.2386 0.7079 0.2410  2 S 2.06-2.08
S 0.2831 0.5421 0.0307  2 S 2.06-2.08
S 0.2921 0.5331 0.5307  2 S 2.06-2.08
S 0.4579 0.4886 0.7410  2 S 2.06-2.08
S 0.4669 0.9976 0.7590  2 S 2.06-2.08
S 0.5114 0.2524 0.9693  2 S 2.06-2.08
S 0.5478 0.2623 0.2214  1 S 2.08
S 0.6736 0.4522 0.7145  1 S 2.08
S 0.7090 0.9877 0.7855  1 S 2.08
S 0.7377 0.9590 0.2855  1 S 2.08
S 0.7476 0.7169 0.2590  2 S 2.06-2.08

Properties
Space-group type: I-42d
Raw formation energy in kJ/mol of atoms: -58



# 10
NaSbS2: optimized geometry, GGA-PBEsol.

a b c (Å): 4.0001 4.0001 24.2553
angles (deg): 90.00 90.00 120.00
Closest atoms and distances in Å follow each position.
Fractional coordinates of all 12 atoms:
Na 0.0000 0.0000 0.0000  2 S 2.56
Na 0.3333 0.6667 0.6667  2 S 2.56
Na 0.6667 0.3333 0.3333  2 S 2.56
Sb 0.0000 0.0000 0.5000  6 S 2.74
Sb 0.3333 0.6667 0.1667  6 S 2.74
Sb 0.6667 0.3333 0.8333  6 S 2.74
S 0.0000 0.0000 0.1056  1 Na 2.56, 3 Sb 2.74
S 0.0000 0.0000 0.8944  1 Na 2.56, 3 Sb 2.74
S 0.3333 0.6667 0.5610  1 Na 2.56, 3 Sb 2.74
S 0.3333 0.6667 0.7723  1 Na 2.56, 3 Sb 2.74
S 0.6667 0.3333 0.2277  1 Na 2.56, 3 Sb 2.74
S 0.6667 0.3333 0.4390  1 Na 2.56, 3 Sb 2.74

Properties
Space-group type: R-3m
Raw formation energy in kJ/mol of atoms: -42



# 11
Na3SbS4: optimized geometry, GGA-PBEsol.

a b c (Å): 7.1054 7.1054 7.1054
angles (deg): 90.00 90.00 90.00
Closest atoms and distances in Å follow each position.
Fractional coordinates of all 16 atoms:
Na 0.0000 0.0000 0.5000  4 S 2.92
Na 0.0000 0.5000 0.0000  4 S 2.92
Na 0.0000 0.5000 0.5000  4 S 2.92
Na 0.5000 0.0000 0.0000  4 S 2.92
Na 0.5000 0.0000 0.5000  4 S 2.92
Na 0.5000 0.5000 0.0000  4 S 2.92
Sb 0.0000 0.0000 0.0000  4 S 2.36
Sb 0.5000 0.5000 0.5000  4 S 2.36
S 0.1915 0.1915 0.1915  1 Sb 2.36
S 0.1915 0.8085 0.8085  1 Sb 2.36
S 0.3085 0.3085 0.6915  1 Sb 2.36
S 0.3085 0.6915 0.3085  1 Sb 2.36
S 0.6915 0.3085 0.3085  1 Sb 2.36
S 0.6915 0.6915 0.6915  1 Sb 2.36
S 0.8085 0.1915 0.8085  1 Sb 2.36
S 0.8085 0.8085 0.1915  1 Sb 2.36

Properties
Space-group type: I-43m
Raw formation energy in kJ/mol of atoms: -74



Table of spin magnetization (μB per cell), in record order: 0.00 0.65 0.00 1.38 0.00 0.00 4.49 0.00 0.00 0.00 0.00